(1)
K3Ti2F9 | the Alexandria database | PBE-GGA | relaxed; formation energy from raw total energies = -3.146 eV/atom; energy = -159.946 eV/cell; ρ = 2.93 g/cm³; SG = R-3c (167)
1.0
7.5691 -0.1936 0.4661
0.4262 7.5595 0.4661
-0.2102 -0.1936 7.5805
K F Ti
6 18 4
Direct
0.7500 0.0979 0.4021 K
0.0979 0.4021 0.7500 K
0.4021 0.7500 0.0979 K
0.9021 0.5979 0.2500 K
0.2500 0.9021 0.5979 K
0.5979 0.2500 0.9021 K
0.5911 0.9089 0.7500 F
0.0667 0.7432 0.9061 F
0.2568 0.0939 0.9333 F
0.9061 0.0667 0.7432 F
0.7568 0.4333 0.5939 F
0.2432 0.5667 0.4061 F
0.5667 0.4061 0.2432 F
0.7500 0.5911 0.9089 F
0.9333 0.2568 0.0939 F
0.2500 0.4089 0.0911 F
0.4061 0.2432 0.5667 F
0.9089 0.7500 0.5911 F
0.7432 0.9061 0.0667 F
0.4333 0.5939 0.7568 F
0.5939 0.7568 0.4333 F
0.4089 0.0911 0.2500 F
0.0939 0.9333 0.2568 F
0.0911 0.2500 0.4089 F
0.3416 0.3416 0.3416 Ti
0.8416 0.8416 0.8416 Ti
0.1584 0.1584 0.1584 Ti
0.6584 0.6584 0.6584 Ti

=====

(2)
ReHg2 | the Alexandria database | PBE-GGA | relaxed; energy of formation from the pure elements = 434 kJ/mol of formula units; energy = -17.099 eV/cell; ρ = 16.51 g/cm³; energy relative to the lowest polymorph listed for this composition = 91.59 kJ per mole of atoms; D(E_F) = 0.893 states/eV per atom; SG = Fd-3m (227)
1.0
-0.8967 -1.1036 5.3218
-3.6550 -3.8637 1.4338
1.7312 -4.7649 2.1545
Re Hg
2 4
Direct
0.0000 0.0000 0.0000 Re
0.2500 0.2500 0.2500 Re
0.6250 0.6250 0.6250 Hg
0.1250 0.6250 0.6250 Hg
0.6250 0.1250 0.6250 Hg
0.6250 0.6250 0.1250 Hg

=====

(3)
CaGaCuGe2 | the Alexandria database | PBE-GGA | relaxed; energy of formation from the pure elements = 57 kJ/mol of formula units; energy = -17.767 eV/cell; ρ = 4.59 g/cm³; energy relative to the lowest polymorph listed for this composition = 40.17 kJ per mole of atoms; D(E_F) = 0.313 states/eV per atom; SG = P4/mmm (123)
1.0
-3.9776 -0.1135 -2.4082
-0.7760 -5.0443 1.5196
-2.3136 1.4860 3.7513
Ge Ca Cu Ga
2 1 1 1
Direct
0.5000 0.0000 0.0000 Ge
0.0000 0.0000 0.5000 Ge
0.0000 0.5000 0.0000 Ca
0.0000 0.0000 0.0000 Cu
0.5000 0.5000 0.5000 Ga

=====

(4)
Ac3TbPm2S6 | the Alexandria database | PBE-GGA | relaxed; formation energy from raw total energies = -2.008 eV/atom; energy = -75.315 eV/cell; ρ = 7.24 g/cm³; D(E_F) = 0.479 states/eV per atom; SG = C2/m (12)
1.0
7.1441 -0.0077 -0.0032
-3.5770 6.1841 -0.0032
-1.1932 -2.0660 6.8718
Ac S Pm Tb
3 6 2 1
Direct
0.8312 0.1688 0.5000 Ac
0.5000 0.5000 0.5000 Ac
0.1688 0.8312 0.5000 Ac
0.2509 0.2509 0.7706 S
0.7491 0.7491 0.2294 S
0.0754 0.4027 0.2269 S
0.4027 0.0754 0.2269 S
0.9246 0.5973 0.7731 S
0.5973 0.9246 0.7731 S
0.3334 0.6666 0.0000 Pm
0.6666 0.3334 0.0000 Pm
0.0000 0.0000 0.0000 Tb

=====

(5)
HgAsSN2 | the Alexandria database | PBE-GGA | relaxed; formation energy from raw total energies = 1.179 eV/atom; energy = -19.833 eV/cell; ρ = 6.51 g/cm³; energy relative to the lowest polymorph listed for this composition = 0.00 kJ per mole of atoms; D(E_F) = 0.289 states/eV per atom; SG = P4/mmm (123)
1.0
3.7046 0.0000 0.0000
0.0000 3.7046 0.0000
0.0000 0.0000 6.2409
N S Hg As
2 1 1 1
Direct
0.5000 0.0000 0.0000 N
0.0000 0.5000 0.0000 N
0.0000 0.0000 0.5000 S
0.5000 0.5000 0.5000 Hg
0.0000 0.0000 0.0000 As

=====

(6)
LiYCl2 | the Alexandria database | PBE-GGA | relaxed; formation energy from raw total energies = -0.563 eV/atom; energy = -14.324 eV/cell; ρ = 3.07 g/cm³; energy relative to the lowest polymorph listed for this composition = 90.92 kJ per mole of atoms; D(E_F) = 0.687 states/eV per atom; SG = F-43m (216)
1.0
-3.0300 1.0471 3.8821
-3.5217 -3.3106 1.4090
0.4991 -2.5152 4.3327
Y Cl Li
1 2 1
Direct
0.7500 0.7500 0.7500 Y
0.2500 0.2500 0.2500 Cl
0.0000 0.0000 0.0000 Cl
0.5000 0.5000 0.5000 Li

=====

(7)
BeS2BrCl | the Alexandria database | PBE-GGA | relaxed; formation energy from raw total energies = 0.309 eV/atom; energy = -13.954 eV/cell; ρ = 3.49 g/cm³; energy relative to the lowest polymorph listed for this composition = 0.00 kJ per mole of atoms; D(E_F) = 0.637 states/eV per atom; SG = P4/mmm (123)
1.0
-3.5065 -0.4376 2.9246
2.9481 -0.1632 3.5103
-0.2147 4.2447 0.3777
Br Be Cl S
1 1 1 2
Direct
0.5000 0.5000 0.5000 Br
0.0000 0.0000 0.0000 Be
0.0000 0.0000 0.5000 Cl
0.0000 0.5000 0.0000 S
0.5000 0.0000 0.0000 S

=====

(8)
SmPaCoCl | the Alexandria database | PBE-GGA | relaxed; formation energy from raw total energies = -0.866 eV/atom; energy = -53.266 eV/cell; ρ = 7.77 g/cm³; D(E_F) = 0.864 states/eV per atom; SG = R-3m (166)
1.0
-0.3732 -3.8770 0.3470
1.0401 -1.7744 3.3257
-14.0135 -0.0261 6.6676
Pa Co Sm Cl
2 2 2 2
Direct
0.8095 0.8095 0.5716 Pa
0.1905 0.1905 0.4284 Pa
0.1177 0.1177 0.6470 Co
0.8823 0.8823 0.3530 Co
0.4103 0.4103 0.7692 Sm
0.5897 0.5897 0.2308 Sm
0.7054 0.7054 0.8838 Cl
0.2946 0.2946 0.1162 Cl

=====

(9)
ErSn2Hg2 | the Alexandria database | PBE-GGA | relaxed; energy of formation from the pure elements = -134 kJ/mol of formula units; energy = -29.117 eV/cell; ρ = 10.81 g/cm³; D(E_F) = 0.419 states/eV per atom; SG = Cmcm (63)
1.0
4.5735 0.0000 0.0000
0.0000 4.4320 0.0000
-2.2867 0.0000 12.2095
Hg Sn Er
4 4 2
Direct
0.4534 0.7500 0.9069 Hg
0.5466 0.2500 0.0931 Hg
0.0492 0.7500 0.0984 Hg
0.9508 0.2500 0.9016 Hg
0.2498 0.7500 0.4996 Sn
0.1424 0.2500 0.2847 Sn
0.8576 0.7500 0.7153 Sn
0.7502 0.2500 0.5004 Sn
0.3525 0.2500 0.7050 Er
0.6475 0.7500 0.2950 Er

=====

(10)
Ti4SnP | the Alexandria database | PBE-GGA | relaxed; energy of formation from the pure elements = -263 kJ/mol of formula units; energy = -87.442 eV/cell; ρ = 5.26 g/cm³; D(E_F) = 0.876 states/eV per atom; SG = C2/c (15)
1.0
5.1053 0.0001 0.0001
-0.0005 6.4691 0.4451
-2.5521 -2.2122 6.3704
Sn Ti P
2 8 2
Direct
0.1117 0.2500 0.0000 Sn
0.8883 0.7500 0.0000 Sn
0.3072 0.6355 0.3597 Ti
0.5263 0.0606 0.8408 Ti
0.6855 0.4394 0.1592 Ti
0.9474 0.8646 0.6402 Ti
0.4737 0.9394 0.1592 Ti
0.6928 0.3645 0.6403 Ti
0.3145 0.5606 0.8408 Ti
0.0526 0.1354 0.3598 Ti
0.0000 0.5000 0.5000 P
0.5000 0.0000 0.5000 P

=====

(11)
Li6CeAu12 | the Alexandria database | PBE-GGA | relaxed; energy of formation from the pure elements = -658 kJ/mol of formula units; energy = -63.560 eV/cell; ρ = 12.02 g/cm³; D(E_F) = 0.642 states/eV per atom; SG = R-3m (166)
1.0
7.4523 -0.1298 -0.1828
-1.9731 7.1876 -0.1828
-1.9731 -2.5415 6.7257
Au Li Ce
12 6 1
Direct
0.3740 0.1265 0.3740 Au
0.8735 0.6260 0.6260 Au
0.5000 0.1197 0.8803 Au
0.8803 0.1197 0.5000 Au
0.1265 0.3740 0.3740 Au
0.8803 0.5000 0.1197 Au
0.1197 0.8803 0.5000 Au
0.1197 0.5000 0.8803 Au
0.6260 0.8735 0.6260 Au
0.5000 0.8803 0.1197 Au
0.3740 0.3740 0.1265 Au
0.6260 0.6260 0.8735 Au
0.2833 0.2833 0.7009 Li
0.7009 0.2833 0.2833 Li
0.2833 0.7009 0.2833 Li
0.7167 0.2991 0.7167 Li
0.2991 0.7167 0.7167 Li
0.7167 0.7167 0.2991 Li
0.0000 0.0000 0.0000 Ce

=====

(12)
Ga3AsRh | the Alexandria database | PBE-GGA | relaxed; energy of formation from the pure elements = 18 kJ/mol of formula units; energy = -20.898 eV/cell; ρ = 5.95 g/cm³; energy relative to the lowest polymorph listed for this composition = 0.00 kJ per mole of atoms; D(E_F) = 0.813 states/eV per atom; SG = Pm-3m (221)
1.0
-1.0891 -2.0839 -4.1428
-0.1386 -4.2390 2.1687
-4.6353 0.6163 0.9085
Ga Rh As
3 1 1
Direct
0.5000 0.0000 0.0000 Ga
0.0000 0.0000 0.5000 Ga
0.0000 0.5000 0.0000 Ga
0.0000 0.0000 0.0000 Rh
0.5000 0.5000 0.5000 As